TbPmRuAu | Alexandria via LeMat-Bulk | GGA-PBE | optimized geometry; ΔH_f (0 K) = -55.3 kJ/mol of atoms
1.0
3.4846 0.0000 0.0000
0.0000 3.4846 0.0000
0.0000 0.0000 7.4112
Tb Pm Ru Au
1 1 1 1
Direct
0.0000 0.0000 0.3391
0.0000 0.0000 0.8777
0.5000 0.5000 0.1153
0.5000 0.5000 0.5958

---

CsLa2Br7 | Alexandria via LeMat-Bulk | GGA-PBE | optimized geometry; ΔE_f (raw) = -1962 meV/atom
1.0
5.8968 0.0000 0.0000
0.0000 8.8783 0.0426
0.0000 -3.9674 7.9426
Cs La Br
1 2 7
Direct
0.0000 0.0000 0.0000
0.5000 0.6976 0.3024
0.5000 0.3024 0.6976
0.0000 0.7107 0.2893
0.0000 0.2893 0.7107
0.5000 0.0500 0.3260
0.5000 0.9500 0.6740
0.5000 0.3260 0.0500
0.5000 0.6740 0.9500
0.5000 0.5000 0.5000

---

M_tot in μB per formula unit, matching the order above: 0.000, 0.000
Calculated volume in Å³/atom, matching the order above: 22.5, 41.7